! Tm3PuSb4 | Alexandria via LeMat-Bulk | PBE-GGA | relaxed; values from VASP
! Formation energy without anion corrections: -0.9433 eV per atom
! Excess energy over the best structure of this formula in the dataset: 0.0 kJ/mol of atoms
&SYSTEM
  ibrav = 0, nat = 16, ntyp = 3
/
ATOMIC_SPECIES
Tm 168.93 Tm.upf
Pu 244.00 Pu.upf
Sb 121.76 Sb.upf
ATOMIC_POSITIONS angstrom
Tm -0.631 1.086 1.780
Tm -1.893 7.640 5.341
Tm 1.879 1.089 5.341
Tm 3.141 3.257 1.780
Tm 1.879 5.469 5.341
Tm 3.141 7.638 1.780
Pu -1.893 3.261 5.341
Pu -0.631 5.466 1.780
Sb 1.898 1.070 0.011
Sb 0.636 7.657 3.572
Sb 0.644 3.265 3.562
Sb 1.905 5.462 0.001
Sb 3.115 3.265 7.120
Sb 4.377 5.462 3.560
Sb 4.384 1.070 3.550
Sb 3.122 7.657 7.110
CELL_PARAMETERS angstrom
7.544 0.000 0.000
0.000 8.727 0.000
-2.523 0.000 7.121